## SiBH (PBE)

Data for a relaxed structure of SiBH.

The structure in POSCAR format:
```
SiBH
1.0
3.423 0.000 0.000
-0.712 4.284 0.001
-0.939 -1.829 4.396
Si B H
2 2 2
direct
0.245 0.101 0.984
0.406 0.345 0.537
0.627 0.848 0.792
0.859 0.098 0.603
0.889 0.865 0.386
0.875 0.788 0.993
```

Values from the calculation:
The value obtained for the spin magnetization is 0.0 Bohr magnetons per cell. The energy above the most stable polymorph in this dataset is 0.23 eV per formula unit. The calculated total energy comes out at -4.933 eV/atom.